# 1
DFT (PBEsol) results for crystalline AlTlAs2 at its relaxed geometry.

abc: 3.829 3.906 6.922
angles: 105.60 90.00 119.36
Fractional positions:
Tl (0.500, 0.000, 0.000)
As (0.737, 0.475, 0.702)
As (0.263, 0.525, 0.298)
Al (0.000, 0.000, 0.500)

Computed properties:
Polymorph energy (0 for the lowest one) in meV per atom: 101
Space-group type: C2/m (12)
Fermi-level density of states in states/eV/f.u.: 2.5
Calculated volume in A^3/atom: 21.5
Total energy in eV per cell: -17.06

# 2
DFT (PBEsol) results for crystalline AlTlAs2 at its relaxed geometry.

abc: 5.942 5.942 7.259
angles: 114.16 114.16 90.00
Fractional positions:
Tl (0.250, 0.750, 0.500)
Tl (0.000, 0.000, 0.000)
As (0.842, 0.375, 0.250)
As (0.408, 0.875, 0.250)
As (0.625, 0.592, 0.750)
As (0.125, 0.158, 0.750)
Al (0.750, 0.250, 0.500)
Al (0.500, 0.500, 0.000)

Computed properties:
Polymorph energy (0 for the lowest one) in meV per atom: 0
Space-group type: I-42d (122)
Fermi-level density of states in states/eV/f.u.: 0.3
Calculated volume in A^3/atom: 26.1
Total energy in eV per cell: -34.93

# 3
DFT (PBEsol) results for crystalline Al2TlAs2 at its relaxed geometry.

abc: 4.062 4.062 7.377
angles: 105.98 105.98 90.00
Fractional positions:
Tl (0.000, 0.000, 0.000)
As (0.365, 0.365, 0.730)
As (0.635, 0.635, 0.270)
Al (0.250, 0.750, 0.500)
Al (0.750, 0.250, 0.500)

Computed properties:
Space-group type: I4/mmm (139)
Fermi-level density of states in states/eV/f.u.: 1.9
Calculated volume in A^3/atom: 22.4
Total energy in eV per cell: -21.70

# 4
DFT (PBEsol) results for crystalline AlTlAs at its relaxed geometry.

abc: 4.770 4.770 4.770
angles: 60.00 60.00 60.00
Fractional positions:
Tl (0.250, 0.250, 0.250)
As (0.500, 0.500, 0.500)
Al (0.000, 0.000, 0.000)

Computed properties:
Space-group type: F-43m (216)
Fermi-level density of states in states/eV/f.u.: 2.6
Calculated volume in A^3/atom: 25.6
Total energy in eV per cell: -10.34

# 5
DFT (PBEsol) results for crystalline Al2TlAs at its relaxed geometry.

abc: 3.822 4.145 5.167
angles: 90.00 90.00 90.00
Fractional positions:
Tl (0.000, 0.500, 0.500)
As (0.500, 0.500, 0.000)
Al (0.000, 0.000, 0.000)
Al (0.500, 0.000, 0.500)

Computed properties:
Polymorph energy (0 for the lowest one) in meV per atom: 254
Space-group type: Pmmm (47)
Fermi-level density of states in states/eV/f.u.: 2.0
Calculated volume in A^3/atom: 20.5
Total energy in eV per cell: -14.93

# 6
DFT (PBEsol) results for crystalline AlAsW2 at its relaxed geometry.

abc: 3.219 3.219 5.804
angles: 90.00 90.00 90.00
Fractional positions:
As (0.500, 0.500, 0.760)
Al (0.000, 0.000, 0.494)
W (0.000, 0.000, 0.985)
W (0.500, 0.500, 0.261)

Computed properties:
Polymorph energy (0 for the lowest one) in meV per atom: 0
Space-group type: P4mm (99)
Fermi-level density of states in states/eV/f.u.: 1.2
Calculated volume in A^3/atom: 15.0
Total energy in eV per cell: -37.05

# 7
DFT (PBEsol) results for crystalline AlAsW2 at its relaxed geometry.

abc: 3.858 3.858 4.107
angles: 90.00 90.00 90.00
Fractional positions:
As (0.000, 0.000, 0.500)
Al (0.500, 0.500, 0.500)
W (0.000, 0.500, 0.000)
W (0.500, 0.000, 0.000)

Computed properties:
Polymorph energy (0 for the lowest one) in meV per atom: 561
Space-group type: P4/mmm (123)
Fermi-level density of states in states/eV/f.u.: 2.9
Calculated volume in A^3/atom: 15.3
Total energy in eV per cell: -34.81

# 8
DFT (PBEsol) results for crystalline AlAsW at its relaxed geometry.

abc: 3.280 3.280 4.743
angles: 110.23 110.23 90.00
Fractional positions:
As (0.675, 0.675, 0.349)
Al (0.999, 0.999, 0.999)
W (0.326, 0.326, 0.652)

Computed properties:
Space-group type: I4mm (107)
Fermi-level density of states in states/eV/f.u.: 0.3
Calculated volume in A^3/atom: 14.8
Total energy in eV per cell: -23.46

# 9
DFT (PBEsol) results for crystalline AlAsW2 at its relaxed geometry.

abc: 3.078 4.547 4.727
angles: 96.23 109.00 90.00
Fractional positions:
As (0.000, 0.500, 0.000)
Al (0.500, 0.000, 0.000)
W (0.249, 0.248, 0.498)
W (0.751, 0.752, 0.502)

Computed properties:
Polymorph energy (0 for the lowest one) in meV per atom: 275
Space-group type: C2/m (12)
Fermi-level density of states in states/eV/f.u.: 2.3
Calculated volume in A^3/atom: 15.5
Total energy in eV per cell: -35.95

# 10
DFT (PBEsol) results for crystalline AlAsW2 at its relaxed geometry.

abc: 3.777 3.777 9.619
angles: 101.32 101.32 90.00
Fractional positions:
As (0.250, 0.750, 0.500)
As (0.000, 0.000, 0.000)
Al (0.750, 0.250, 0.500)
Al (0.500, 0.500, 0.000)
W (0.377, 0.875, 0.250)
W (0.873, 0.375, 0.250)
W (0.125, 0.127, 0.750)
W (0.625, 0.623, 0.750)

Computed properties:
Polymorph energy (0 for the lowest one) in meV per atom: 519
Space-group type: I-42d (122)
Fermi-level density of states in states/eV/f.u.: 2.1
Calculated volume in A^3/atom: 16.5
Total energy in eV per cell: -69.95

# 11
DFT (PBEsol) results for crystalline Al2AsW at its relaxed geometry.

abc: 4.452 4.452 4.452
angles: 60.00 60.00 60.00
Fractional positions:
As (0.500, 0.500, 0.500)
Al (0.000, 0.000, 0.000)
Al (0.250, 0.250, 0.250)
W (0.750, 0.750, 0.750)

Computed properties:
Space-group type: F-43m (216)
Fermi-level density of states in states/eV/f.u.: 2.8
Calculated volume in A^3/atom: 15.6
Total energy in eV per cell: -25.44

# 12
DFT (PBEsol) results for crystalline AlAsW2 at its relaxed geometry.

abc: 3.225 4.188 4.528
angles: 90.00 90.00 90.00
Fractional positions:
As (0.000, 0.500, 0.500)
Al (0.500, 0.500, 0.000)
W (0.000, 0.000, 0.000)
W (0.500, 0.000, 0.500)

Computed properties:
Polymorph energy (0 for the lowest one) in meV per atom: 376
Space-group type: Pmmm (47)
Fermi-level density of states in states/eV/f.u.: 2.5
Calculated volume in A^3/atom: 15.3
Total energy in eV per cell: -35.55

> The highest Fermi-level density of states belongs to which entry?

number 7